# 1
A relaxed structure of AsPW2. Source: Alexandria via LeMat-Bulk, functional GGA-PBE.

```
data_AsPW2
_chemical_formula_sum 'As2 P2 W4'
_cell_length_a 3.166
_cell_length_b 5.010
_cell_length_c 7.915
_cell_angle_alpha 90.00
_cell_angle_beta 90.00
_cell_angle_gamma 90.00
_space_group_name_H-M_alt 'C m m m'
_space_group_IT_number 65
_space_group_name_Hall '-C 2 2'
loop_
_atom_site_label
_atom_site_fract_x
_atom_site_fract_y
_atom_site_fract_z
As1 0.000 0.000 0.000
P1 0.000 0.000 0.500
W1 0.000 0.500 0.270
```

Properties
E_tot = -68.14 eV/cell
Excess energy over the best structure of this formula in the dataset = 579 meV/atom
Energy of formation = 0.474 eV/atom
Volume = 126 Å³/cell

***

# 2
A relaxed structure of ScPd3O. Source: Alexandria via LeMat-Bulk, functional GGA-PBE.

```
data_ScPd3O
_chemical_formula_sum 'Sc1 Pd3 O1'
_cell_length_a 4.286
_cell_length_b 4.286
_cell_length_c 4.286
_cell_angle_alpha 90.00
_cell_angle_beta 90.00
_cell_angle_gamma 90.00
_space_group_name_H-M_alt 'P m -3 m'
_space_group_IT_number 221
_space_group_name_Hall '-P 4 2 3'
loop_
_atom_site_label
_atom_site_fract_x
_atom_site_fract_y
_atom_site_fract_z
Sc1 0.000 0.000 0.000
Pd1 0.000 0.500 0.500
O1 0.500 0.500 0.500
```

Properties
E_tot = -28.83 eV/cell
Excess energy over the best structure of this formula in the dataset = 0 meV/atom
Volume = 79 Å³/cell

***

# 3
A relaxed structure of BaScIn2. Source: Alexandria via LeMat-Bulk, functional GGA-PBE.

```
data_BaScIn2
_chemical_formula_sum 'Ba2 Sc2 In4'
_cell_length_a 11.725
_cell_length_b 3.610
_cell_length_c 6.106
_cell_angle_alpha 90.00
_cell_angle_beta 106.18
_cell_angle_gamma 90.00
_space_group_name_H-M_alt 'C 1 m 1'
_space_group_IT_number 8
loop_
_space_group_symop_operation_xyz
'x,y,z'
'x,-y,z'
'x+1/2,y+1/2,z'
'x+1/2,-y+1/2,z'
loop_
_atom_site_label
_atom_site_fract_x
_atom_site_fract_y
_atom_site_fract_z
Ba1 0.000 0.000 0.000
Sc1 0.297 0.500 0.372
In1 0.035 0.500 0.494
In2 0.239 0.000 0.762
```

Properties
E_tot = -28.32 eV/cell
Energy of formation = -0.107 eV/atom
Volume = 248 Å³/cell

***

# 4
A relaxed structure of LaTc2Ni. Source: Alexandria via LeMat-Bulk, functional GGA-PBE.

```
data_LaTc2Ni
_chemical_formula_sum 'La2 Tc4 Ni2'
_cell_length_a 3.969
_cell_length_b 3.969
_cell_length_c 8.829
_cell_angle_alpha 90.00
_cell_angle_beta 90.00
_cell_angle_gamma 90.00
_space_group_name_H-M_alt 'I 4/m m m'
_space_group_IT_number 139
_space_group_name_Hall '-I 4 2'
loop_
_atom_site_label
_atom_site_fract_x
_atom_site_fract_y
_atom_site_fract_z
La1 0.000 0.000 0.000
Tc1 0.000 0.500 0.250
Ni1 0.000 0.000 0.500
```

Properties
E_tot = -58.48 eV/cell
Excess energy over the best structure of this formula in the dataset = 494 meV/atom
Energy of formation = 0.550 eV/atom
Volume = 139 Å³/cell

***

# 5
A relaxed structure of CaAlSeBr2. Source: Alexandria via LeMat-Bulk, functional GGA-PBE.

```
data_CaAlSeBr2
_chemical_formula_sum 'Ca1 Al1 Se1 Br2'
_cell_length_a 5.601
_cell_length_b 5.601
_cell_length_c 5.734
_cell_angle_alpha 90.00
_cell_angle_beta 90.00
_cell_angle_gamma 90.00
_space_group_name_H-M_alt 'P 4/m m m'
_space_group_IT_number 123
_space_group_name_Hall '-P 4 2'
loop_
_atom_site_label
_atom_site_fract_x
_atom_site_fract_y
_atom_site_fract_z
Ca1 0.000 0.000 0.000
Al1 0.500 0.500 0.500
Se1 0.000 0.000 0.500
Br1 0.000 0.500 0.000
```

Properties
E_tot = -15.88 eV/cell
Excess energy over the best structure of this formula in the dataset = 252 meV/atom
Volume = 180 Å³/cell

***

# 6
A relaxed structure of Na4U3CuSe8. Source: Alexandria via LeMat-Bulk, functional GGA-PBE.

```
data_Na4U3CuSe8
_chemical_formula_sum 'Na8 U6 Cu2 Se16'
_cell_length_a 14.154
_cell_length_b 8.160
_cell_length_c 8.462
_cell_angle_alpha 90.00
_cell_angle_beta 123.90
_cell_angle_gamma 90.00
_space_group_name_H-M_alt 'C 1 2/m 1'
_space_group_IT_number 12
loop_
_space_group_symop_operation_xyz
'x,y,z'
'-x,-y,-z'
'-x,y,-z'
'x,-y,z'
'x+1/2,y+1/2,z'
'-x+1/2,-y+1/2,-z'
'-x+1/2,y+1/2,-z'
'x+1/2,-y+1/2,z'
loop_
_atom_site_label
_atom_site_fract_x
_atom_site_fract_y
_atom_site_fract_z
Na1 0.000 0.000 0.000
Na2 0.000 0.500 0.000
Na3 0.250 0.250 0.000
U1 0.000 0.000 0.500
U2 0.250 0.250 0.500
Cu1 0.000 0.500 0.500
Se1 0.007 0.254 0.276
Se2 0.240 0.500 0.725
Se3 0.245 0.000 0.736
```

Properties
E_tot = -176.13 eV/cell
Volume = 811 Å³/cell

***

# 7
A relaxed structure of Hf12Sb6Ru. Source: Alexandria via LeMat-Bulk, functional GGA-PBE.

```
data_Hf12Sb6Ru
_chemical_formula_sum 'Hf36 Sb18 Ru3'
_cell_length_a 12.3048
_cell_length_b 12.3048
_cell_length_c 10.6008
_cell_angle_alpha 90.00
_cell_angle_beta 90.00
_cell_angle_gamma 120.00
_space_group_name_H-M_alt 'R -3'
_space_group_IT_number 148
_space_group_name_Hall '-R 3'
loop_
_atom_site_label
_atom_site_fract_x
_atom_site_fract_y
_atom_site_fract_z
Hf1 0.0242 0.8608 0.3746
Hf2 0.0721 0.8747 0.8749
Sb1 0.0314 0.7420 0.6308
Ru1 0.0000 0.0000 0.0000
```

Properties
E_tot = -466.19 eV/cell
Volume = 1390 Å³/cell

***

# 8
A relaxed structure of MgPbBr4. Source: Alexandria via LeMat-Bulk, functional GGA-PBE.

```
data_MgPbBr4
_chemical_formula_sum 'Mg4 Pb4 Br16'
_cell_length_a 9.083
_cell_length_b 9.083
_cell_length_c 9.083
_cell_angle_alpha 90.00
_cell_angle_beta 90.00
_cell_angle_gamma 90.00
_space_group_name_H-M_alt 'F -4 3 m'
_space_group_IT_number 216
_space_group_name_Hall 'F -4 2 3'
loop_
_atom_site_label
_atom_site_fract_x
_atom_site_fract_y
_atom_site_fract_z
Mg1 0.000 0.000 0.000
Pb1 0.250 0.250 0.750
Br1 0.126 0.126 0.374
```

Properties
E_tot = -43.34 eV/cell
Excess energy over the best structure of this formula in the dataset = 1367 meV/atom
Volume = 749 Å³/cell